This record from Alexandria describes a relaxed CsLi3Th2Te6 crystal. The functional is PBE.

The structure in CIF format:
```
data_CsLi3Th2Te6
_cell_length_a 18.192
_cell_length_b 4.567
_cell_length_c 11.011
_cell_angle_alpha 90.00
_cell_angle_beta 97.32
_cell_angle_gamma 90.00
_symmetry_space_group_name_H-M 'C 1 2/m 1'
_symmetry_Int_Tables_number 12
_symmetry_space_group_name_Hall '-C 2y'
loop_
_atom_site_label
_atom_site_fract_x
_atom_site_fract_y
_atom_site_fract_z
Cs1 0.000 0.000 0.000
Li1 0.000 0.000 0.500
Li2 0.150 0.500 0.701
Th1 0.167 0.500 0.338
Te1 0.002 0.500 0.292
Te2 0.161 0.000 0.544
Te3 0.206 0.000 0.167
```

Summary:
Electronic total energy (eV/atom): -4.46
Magnetization (μB/cell): 0.000
Uncorrected formation energy (eV/atom): -1.10

This record from Alexandria describes a relaxed NdLu2Ga crystal. The functional is PBE.

The structure in CIF format:
```
data_NdLu2Ga
_cell_length_a 3.4530
_cell_length_b 3.4530
_cell_length_c 33.4329
_cell_angle_alpha 90.00
_cell_angle_beta 90.00
_cell_angle_gamma 120.00
_symmetry_space_group_name_H-M 'R -3 m'
_symmetry_Int_Tables_number 166
_symmetry_space_group_name_Hall '-R 3 2"'
loop_
_atom_site_label
_atom_site_fract_x
_atom_site_fract_y
_atom_site_fract_z
Nd1 0.0000 0.0000 0.0000
Lu1 0.0000 0.0000 0.1027
Ga1 0.0000 0.0000 0.5000
```

Summary:
Relative energy among the computed polymorphs (meV/atom): 268
Electronic total energy (eV/atom): -4.23
Magnetization (μB/cell): 0.000
DFT formation energy (meV per atom): -24

This record from Alexandria describes a relaxed Sr2NiTe2 crystal. The functional is PBE.

The structure in CIF format:
```
data_Sr2NiTe2
_cell_length_a 8.767
_cell_length_b 8.767
_cell_length_c 4.317
_cell_angle_alpha 90.00
_cell_angle_beta 90.00
_cell_angle_gamma 90.00
_symmetry_space_group_name_H-M 'P 4/m b m'
_symmetry_Int_Tables_number 127
_symmetry_space_group_name_Hall '-P 4 2ab'
loop_
_atom_site_label
_atom_site_fract_x
_atom_site_fract_y
_atom_site_fract_z
Sr1 0.149 0.351 0.000
Ni1 0.000 0.000 0.000
Te1 0.159 0.659 0.500
```

Summary:
Relative energy among the computed polymorphs (meV/atom): 0
Electronic total energy (eV/atom): -3.62
Magnetization (μB/cell): 2.451
Uncorrected formation energy (eV/atom): -0.53

This record from Alexandria describes a relaxed Ce2Ni3Rh crystal. The functional is PBE.

The structure in CIF format:
```
data_Ce2Ni3Rh
_cell_length_a 5.0741
_cell_length_b 5.0741
_cell_length_c 13.0556
_cell_angle_alpha 90.00
_cell_angle_beta 90.00
_cell_angle_gamma 120.00
_symmetry_space_group_name_H-M 'R -3 m'
_symmetry_Int_Tables_number 166
_symmetry_space_group_name_Hall '-R 3 2"'
loop_
_atom_site_label
_atom_site_fract_x
_atom_site_fract_y
_atom_site_fract_z
Ce1 0.0000 0.0000 0.1248
Ni1 0.0000 0.5000 0.0000
Rh1 0.0000 0.0000 0.5000
```

Summary:
Electronic total energy (eV/atom): -6.59
Magnetization (μB/cell): 1.433
DFT formation energy (meV per atom): -493

This record from Alexandria describes a relaxed Co4WAu crystal. The functional is PBE.

The structure in CIF format:
```
data_Co4WAu
_cell_length_a 6.673
_cell_length_b 6.673
_cell_length_c 6.673
_cell_angle_alpha 90.00
_cell_angle_beta 90.00
_cell_angle_gamma 90.00
_symmetry_space_group_name_H-M 'F -4 3 m'
_symmetry_Int_Tables_number 216
_symmetry_space_group_name_Hall 'F -4 2 3'
loop_
_atom_site_label
_atom_site_fract_x
_atom_site_fract_y
_atom_site_fract_z
Co1 0.125 0.125 0.125
W1 0.250 0.250 0.750
Au1 0.000 0.000 0.500
```

Summary:
Electronic total energy (eV/atom): -7.30
Magnetization (μB/cell): 11.440
DFT formation energy (meV per atom): 141

This record from Alexandria describes a relaxed Pt2WC crystal. The functional is PBE.

The structure in CIF format:
```
data_Pt2WC
_cell_length_a 4.987
_cell_length_b 4.987
_cell_length_c 11.112
_cell_angle_alpha 90.00
_cell_angle_beta 90.00
_cell_angle_gamma 90.00
_symmetry_space_group_name_H-M 'I -4 2 d'
_symmetry_Int_Tables_number 122
_symmetry_space_group_name_Hall 'I -4 2bw'
loop_
_atom_site_label
_atom_site_fract_x
_atom_site_fract_y
_atom_site_fract_z
Pt1 0.170 0.250 0.125
W1 0.000 0.000 0.500
C1 0.000 0.000 0.000
```

Summary:
Electronic total energy (eV/atom): -7.64
Magnetization (μB/cell): 0.000
DFT formation energy (meV per atom): 928

This record from Alexandria describes a relaxed CeZn4Au8 crystal. The functional is PBE.

The structure in CIF format:
```
data_CeZn4Au8
_cell_length_a 9.363
_cell_length_b 9.363
_cell_length_c 5.397
_cell_angle_alpha 90.00
_cell_angle_beta 90.00
_cell_angle_gamma 90.00
_symmetry_space_group_name_H-M 'I 4/m m m'
_symmetry_Int_Tables_number 139
_symmetry_space_group_name_Hall '-I 4 2'
loop_
_atom_site_label
_atom_site_fract_x
_atom_site_fract_y
_atom_site_fract_z
Ce1 0.000 0.000 0.000
Zn1 0.250 0.250 0.250
Au1 0.000 0.217 0.500
Au2 0.000 0.336 0.000
```

Summary:
Electronic total energy (eV/atom): -3.19
Magnetization (μB/cell): 1.776
DFT formation energy (meV per atom): -328

This record from Alexandria describes a relaxed InTe3N crystal. The functional is PBE.

The structure in CIF format:
```
data_InTe3N
_cell_length_a 4.883
_cell_length_b 4.883
_cell_length_c 4.883
_cell_angle_alpha 90.00
_cell_angle_beta 90.00
_cell_angle_gamma 90.00
_symmetry_space_group_name_H-M 'P m -3 m'
_symmetry_Int_Tables_number 221
_symmetry_space_group_name_Hall '-P 4 2 3'
loop_
_atom_site_label
_atom_site_fract_x
_atom_site_fract_y
_atom_site_fract_z
In1 0.000 0.000 0.000
Te1 0.000 0.500 0.500
N1 0.500 0.500 0.500
```

Summary:
Relative energy among the computed polymorphs (meV/atom): 0
Electronic total energy (eV/atom): -3.52
Magnetization (μB/cell): 0.000
Uncorrected formation energy (eV/atom): 0.58

This record from Alexandria describes a relaxed Ti2NbCuH crystal. The functional is PBE.

The structure in CIF format:
```
data_Ti2NbCuH
_cell_length_a 4.247
_cell_length_b 4.247
_cell_length_c 3.615
_cell_angle_alpha 90.00
_cell_angle_beta 90.00
_cell_angle_gamma 90.00
_symmetry_space_group_name_H-M 'P 4/m m m'
_symmetry_Int_Tables_number 123
_symmetry_space_group_name_Hall '-P 4 2'
loop_
_atom_site_label
_atom_site_fract_x
_atom_site_fract_y
_atom_site_fract_z
Ti1 0.000 0.500 0.000
Nb1 0.000 0.000 0.500
Cu1 0.500 0.500 0.500
H1 0.500 0.500 0.000
```

Summary:
Relative energy among the computed polymorphs (meV/atom): 31
Electronic total energy (eV/atom): -6.75
Magnetization (μB/cell): 0.000

This record from Alexandria describes a relaxed SrCaHo2Hg4 crystal. The functional is PBE.

The structure in CIF format:
```
data_SrCaHo2Hg4
_cell_length_a 5.3422
_cell_length_b 5.3422
_cell_length_c 26.3563
_cell_angle_alpha 90.00
_cell_angle_beta 90.00
_cell_angle_gamma 120.00
_symmetry_space_group_name_H-M 'R -3 m'
_symmetry_Int_Tables_number 166
_symmetry_space_group_name_Hall '-R 3 2"'
loop_
_atom_site_label
_atom_site_fract_x
_atom_site_fract_y
_atom_site_fract_z
Sr1 0.0000 0.0000 0.0000
Ca1 0.0000 0.0000 0.5000
Ho1 0.0000 0.0000 0.2482
Hg1 0.0000 0.0000 0.1266
Hg2 0.0000 0.0000 0.3783
```

Summary:
Electronic total energy (eV/atom): -2.24
Magnetization (μB/cell): 0.000
DFT formation energy (meV per atom): -481

This record from Alexandria describes a relaxed TaS3 crystal. The functional is PBE.

The structure in CIF format:
```
data_TaS3
_cell_length_a 5.105
_cell_length_b 7.688
_cell_length_c 6.704
_cell_angle_alpha 90.00
_cell_angle_beta 90.00
_cell_angle_gamma 90.00
_symmetry_space_group_name_H-M 'A e a 2'
_symmetry_Int_Tables_number 41
_symmetry_space_group_name_Hall 'A 2 -2ab'
loop_
_atom_site_label
_atom_site_fract_x
_atom_site_fract_y
_atom_site_fract_z
Ta1 0.000 0.000 0.000
S1 0.000 0.000 0.371
S2 0.164 0.201 0.674
```

Summary:
Electronic total energy (eV/atom): -6.04
Magnetization (μB/cell): 0.000
Uncorrected formation energy (eV/atom): 0.02

This record from Alexandria describes a relaxed ZrI crystal. The functional is PBE.

The structure in CIF format:
```
data_ZrI
_cell_length_a 5.896
_cell_length_b 5.896
_cell_length_c 6.003
_cell_angle_alpha 90.00
_cell_angle_beta 90.00
_cell_angle_gamma 90.00
_symmetry_space_group_name_H-M 'P 42/m n m'
_symmetry_Int_Tables_number 136
_symmetry_space_group_name_Hall '-P 4n 2n'
loop_
_atom_site_label
_atom_site_fract_x
_atom_site_fract_y
_atom_site_fract_z
Zr1 0.187 0.187 0.000
I1 0.205 0.205 0.500
```

Summary:
Electronic total energy (eV/atom): -4.81
Magnetization (μB/cell): 0.001
Uncorrected formation energy (eV/atom): 0.24

- What is the magnetization in the seventh record?
  1.776 μB/cell

- The highest magnetization belongs to which entry?
  Co4WAu